(1)
Entry from Alexandria via LeMat-Bulk: crystalline Tb3Dy4Zn4 at its relaxed geometry (PBE-GGA).

Cell lengths 9.131, 9.131, 9.131 Å; angles 147.62, 135.01, 56.51 degrees
Atoms (fractional coordinates):
Tb 0.000 0.000 0.000
Tb 0.398 0.898 0.500
Tb 0.602 0.102 0.500
Dy 0.053 0.322 0.731
Dy 0.409 0.678 0.731
Dy 0.591 0.322 0.269
Dy 0.947 0.678 0.269
Zn 0.183 0.183 0.000
Zn 0.317 0.500 0.817
Zn 0.683 0.500 0.183
Zn 0.817 0.817 0.000

(2)
Entry from Alexandria via LeMat-Bulk: crystalline Tb2Dy3Zn2 at its relaxed geometry (PBE-GGA).

Cell lengths 15.500, 15.500, 3.503 Å; angles 90.00, 90.00, 166.92 degrees
Atoms (fractional coordinates):
Tb 0.201 0.799 0.000
Tb 0.799 0.201 0.000
Dy 0.383 0.617 0.500
Dy 0.500 0.500 0.500
Dy 0.617 0.383 0.500
Zn 0.058 0.942 0.000
Zn 0.942 0.058 0.000

For the distance to the lowest polymorph of the same formula, the calculation gives 0.0378 eV/atom.

(3)
Entry from Alexandria via LeMat-Bulk: crystalline Tb2Dy2Zn at its relaxed geometry (PBE-GGA).

Cell lengths 12.668, 12.668, 12.668 Å; angles 157.43, 157.43, 32.13 degrees
Atoms (fractional coordinates):
Tb 0.056 0.306 0.750
Tb 0.306 0.056 0.250
Tb 0.694 0.944 0.750
Tb 0.944 0.694 0.250
Dy 0.200 0.450 0.750
Dy 0.450 0.200 0.250
Dy 0.550 0.800 0.750
Dy 0.800 0.550 0.250
Zn 0.375 0.625 0.750
Zn 0.625 0.375 0.250

For the distance to the lowest polymorph of the same formula, the calculation gives 0.1362 eV/atom.

(4)
Entry from Alexandria via LeMat-Bulk: crystalline Tb4DyZn at its relaxed geometry (PBE-GGA).

Cell lengths 8.073, 8.073, 6.238 Å; angles 100.05, 100.05, 113.90 degrees
Atoms (fractional coordinates):
Tb 0.079 0.714 0.951
Tb 0.164 0.390 0.624
Tb 0.286 0.921 0.549
Tb 0.390 0.164 0.124
Tb 0.610 0.836 0.876
Tb 0.714 0.079 0.451
Tb 0.836 0.610 0.376
Tb 0.921 0.286 0.049
Dy 0.405 0.595 0.250
Dy 0.595 0.405 0.750
Zn 0.000 0.000 0.250
Zn 0.000 0.000 0.750

For the distance to the lowest polymorph of the same formula, the calculation gives 0.1026 eV/atom.

(5)
Entry from Alexandria via LeMat-Bulk: crystalline TbDyZn at its relaxed geometry (PBE-GGA).

Cell lengths 4.990, 4.990, 3.647 Å; angles 90.00, 90.00, 120.00 degrees
Atoms (fractional coordinates):
Tb 0.000 0.000 0.000
Dy 0.333 0.667 0.541
Zn 0.667 0.333 0.281

For the distance to the lowest polymorph of the same formula, the calculation gives 0.1602 eV/atom.

(6)
Entry from Alexandria via LeMat-Bulk: crystalline Tb8Dy2Zr at its relaxed geometry (PBE-GGA).

Cell lengths 8.883, 8.883, 6.573 Å; angles 101.53, 101.53, 43.21 degrees
Atoms (fractional coordinates):
Tb 0.095 0.095 0.916
Tb 0.164 0.676 0.614
Tb 0.254 0.254 0.664
Tb 0.324 0.836 0.386
Tb 0.676 0.164 0.614
Tb 0.746 0.746 0.336
Tb 0.836 0.324 0.386
Tb 0.905 0.905 0.084
Dy 0.316 0.316 0.181
Dy 0.684 0.684 0.819
Zr 0.500 0.500 0.000

For the distance to the lowest polymorph of the same formula, the calculation gives 0.1652 eV/atom.

(7)
Entry from Alexandria via LeMat-Bulk: crystalline Tb2Dy12Zr at its relaxed geometry (PBE-GGA).

Cell lengths 6.474, 6.474, 23.754 Å; angles 90.00, 90.00, 90.00 degrees
Atoms (fractional coordinates):
Tb 0.250 0.750 0.234
Tb 0.250 0.750 0.766
Tb 0.750 0.250 0.234
Tb 0.750 0.250 0.766
Dy 0.001 0.501 0.404
Dy 0.001 0.999 0.596
Dy 0.082 0.582 0.936
Dy 0.082 0.918 0.064
Dy 0.250 0.250 0.167
Dy 0.250 0.250 0.296
Dy 0.250 0.250 0.704
Dy 0.250 0.250 0.833
Dy 0.418 0.582 0.064
Dy 0.418 0.918 0.936
Dy 0.499 0.501 0.596
Dy 0.499 0.999 0.404
Dy 0.501 0.001 0.596
Dy 0.501 0.499 0.404
Dy 0.582 0.082 0.064
Dy 0.582 0.418 0.936
Dy 0.750 0.750 0.167
Dy 0.750 0.750 0.296
Dy 0.750 0.750 0.704
Dy 0.750 0.750 0.833
Dy 0.918 0.082 0.936
Dy 0.918 0.418 0.064
Dy 0.999 0.001 0.404
Dy 0.999 0.499 0.596
Zr 0.250 0.750 0.500
Zr 0.750 0.250 0.500

(8)
Entry from Alexandria via LeMat-Bulk: crystalline Tb6Dy4Zr at its relaxed geometry (PBE-GGA).

Cell lengths 8.709, 8.709, 8.979 Å; angles 90.00, 90.00, 90.00 degrees
Atoms (fractional coordinates):
Tb 0.000 0.000 0.176
Tb 0.000 0.000 0.824
Tb 0.151 0.345 0.500
Tb 0.155 0.349 0.000
Tb 0.345 0.849 0.500
Tb 0.349 0.845 0.000
Tb 0.500 0.500 0.324
Tb 0.500 0.500 0.676
Tb 0.651 0.155 0.000
Tb 0.655 0.151 0.500
Tb 0.845 0.651 0.000
Tb 0.849 0.655 0.500
Dy 0.146 0.646 0.250
Dy 0.146 0.646 0.750
Dy 0.354 0.146 0.250
Dy 0.354 0.146 0.750
Dy 0.646 0.854 0.250
Dy 0.646 0.854 0.750
Dy 0.854 0.354 0.250
Dy 0.854 0.354 0.750
Zr 0.000 0.000 0.500
Zr 0.500 0.500 0.000

(9)
Entry from Alexandria via LeMat-Bulk: crystalline TbDyZr at its relaxed geometry (PBE-GGA).

Cell lengths 5.372, 5.372, 3.389 Å; angles 90.00, 90.00, 120.00 degrees
Atoms (fractional coordinates):
Tb 0.000 0.000 0.000
Dy 0.333 0.667 0.500
Zr 0.667 0.333 0.500

For the distance to the lowest polymorph of the same formula, the calculation gives 0.0543 eV/atom.

(10)
Entry from Alexandria via LeMat-Bulk: crystalline TbDy2Zr at its relaxed geometry (PBE-GGA).

Cell lengths 4.865, 4.865, 4.869 Å; angles 90.00, 90.00, 90.00 degrees
Atoms (fractional coordinates):
Tb 0.000 0.000 0.000
Dy 0.000 0.500 0.500
Dy 0.500 0.000 0.500
Zr 0.500 0.500 0.000

For the distance to the lowest polymorph of the same formula, the calculation gives 0.0179 eV/atom.

(11)
Entry from Alexandria via LeMat-Bulk: crystalline Tb4Dy10Zr at its relaxed geometry (PBE-GGA).

Cell lengths 8.797, 8.797, 8.797 Å; angles 101.17, 101.17, 127.78 degrees
Atoms (fractional coordinates):
Tb 0.228 0.228 0.455
Tb 0.228 0.772 0.000
Tb 0.772 0.228 0.000
Tb 0.772 0.772 0.545
Dy 0.081 0.288 0.792
Dy 0.250 0.750 0.500
Dy 0.288 0.081 0.792
Dy 0.288 0.496 0.208
Dy 0.496 0.288 0.208
Dy 0.504 0.712 0.792
Dy 0.712 0.504 0.792
Dy 0.712 0.919 0.208
Dy 0.750 0.250 0.500
Dy 0.919 0.712 0.208
Zr 0.000 0.000 0.000

(12)
Entry from Alexandria via LeMat-Bulk: crystalline TbDy2Zr at its relaxed geometry (PBE-GGA).

Cell lengths 4.016, 4.016, 7.231 Å; angles 90.00, 90.00, 90.00 degrees
Atoms (fractional coordinates):
Tb 0.000 0.000 0.000
Dy 0.500 0.500 0.275
Dy 0.500 0.500 0.725
Zr 0.000 0.000 0.500

For the distance to the lowest polymorph of the same formula, the calculation gives 0.0941 eV/atom.

(13)
Entry from Alexandria via LeMat-Bulk: crystalline TbDyZr at its relaxed geometry (PBE-GGA).

Cell lengths 3.350, 5.003, 10.200 Å; angles 90.00, 99.26, 90.00 degrees
Atoms (fractional coordinates):
Tb 0.055 0.250 0.097
Tb 0.945 0.750 0.903
Dy 0.367 0.250 0.739
Dy 0.633 0.750 0.261
Zr 0.215 0.250 0.427
Zr 0.785 0.750 0.573

For the distance to the lowest polymorph of the same formula, the calculation gives 0.0520 eV/atom.

(14)
Entry from Alexandria via LeMat-Bulk: crystalline Tb12Dy7Zr at its relaxed geometry (PBE-GGA).

Cell lengths 8.650, 8.650, 8.650 Å; angles 91.43, 91.43, 91.43 degrees
Atoms (fractional coordinates):
Tb 0.126 0.444 0.372
Tb 0.216 0.362 0.761
Tb 0.239 0.784 0.638
Tb 0.362 0.761 0.216
Tb 0.372 0.126 0.444
Tb 0.444 0.372 0.126
Tb 0.556 0.628 0.874
Tb 0.628 0.874 0.556
Tb 0.638 0.239 0.784
Tb 0.761 0.216 0.362
Tb 0.784 0.638 0.239
Tb 0.874 0.556 0.628
Dy 0.039 0.944 0.332
Dy 0.056 0.668 0.961
Dy 0.332 0.039 0.944
Dy 0.500 0.500 0.500
Dy 0.668 0.961 0.056
Dy 0.944 0.332 0.039
Dy 0.961 0.056 0.668
Zr 0.000 0.000 0.000

For the distance to the lowest polymorph of the same formula, the calculation gives 0.0103 eV/atom.

(15)
Entry from Alexandria via LeMat-Bulk: crystalline Tb4Dy5Zr at its relaxed geometry (PBE-GGA).

Cell lengths 6.082, 3.505, 14.454 Å; angles 90.00, 98.12, 90.00 degrees
Atoms (fractional coordinates):
Tb 0.098 0.000 0.309
Tb 0.394 0.500 0.696
Tb 0.606 0.500 0.304
Tb 0.902 0.000 0.691
Dy 0.200 0.500 0.101
Dy 0.300 0.000 0.900
Dy 0.500 0.000 0.500
Dy 0.700 0.000 0.100
Dy 0.800 0.500 0.899
Zr 0.000 0.500 0.500

(16)
Entry from Alexandria via LeMat-Bulk: crystalline Tb2DyZr at its relaxed geometry (PBE-GGA).

Cell lengths 4.874, 4.874, 4.868 Å; angles 90.00, 90.00, 90.00 degrees
Atoms (fractional coordinates):
Tb 0.000 0.500 0.000
Tb 0.500 0.000 0.000
Dy 0.000 0.000 0.500
Zr 0.500 0.500 0.500

For the distance to the lowest polymorph of the same formula, the calculation gives 0.0148 eV/atom.

(17)
Entry from Alexandria via LeMat-Bulk: crystalline Tb8Dy2Zr at its relaxed geometry (PBE-GGA).

Cell lengths 9.300, 9.300, 7.884 Å; angles 104.77, 104.77, 30.99 degrees
Atoms (fractional coordinates):
Tb 0.044 0.044 0.236
Tb 0.132 0.132 0.675
Tb 0.321 0.321 0.590
Tb 0.411 0.411 0.056
Tb 0.589 0.589 0.944
Tb 0.679 0.679 0.410
Tb 0.868 0.868 0.325
Tb 0.956 0.956 0.764
Dy 0.226 0.226 0.134
Dy 0.774 0.774 0.866
Zr 0.500 0.500 0.500

For the distance to the lowest polymorph of the same formula, the calculation gives 0.0000 eV/atom.

(18)
Entry from Alexandria via LeMat-Bulk: crystalline Tb12Dy3Zr at its relaxed geometry (PBE-GGA).

Cell lengths 4.999, 4.999, 19.918 Å; angles 90.00, 90.00, 90.00 degrees
Atoms (fractional coordinates):
Tb 0.000 0.000 0.000
Tb 0.000 0.000 0.247
Tb 0.000 0.000 0.500
Tb 0.000 0.000 0.753
Tb 0.000 0.500 0.118
Tb 0.000 0.500 0.373
Tb 0.000 0.500 0.627
Tb 0.000 0.500 0.882
Tb 0.500 0.000 0.118
Tb 0.500 0.000 0.373
Tb 0.500 0.000 0.627
Tb 0.500 0.000 0.882
Dy 0.500 0.500 0.248
Dy 0.500 0.500 0.500
Dy 0.500 0.500 0.752
Zr 0.500 0.500 0.000

(19)
Entry from Alexandria via LeMat-Bulk: crystalline TbDyZr at its relaxed geometry (PBE-GGA).

Cell lengths 7.740, 7.740, 7.740 Å; angles 154.61, 154.61, 36.21 degrees
Atoms (fractional coordinates):
Tb 0.000 0.000 0.000
Dy 0.687 0.687 0.000
Zr 0.343 0.343 0.000

For the distance to the lowest polymorph of the same formula, the calculation gives 0.0000 eV/atom.

(20)
Entry from Alexandria via LeMat-Bulk: crystalline Tb12Dy7Zr at its relaxed geometry (PBE-GGA).

Cell lengths 11.355, 11.355, 11.355 Å; angles 116.90, 116.90, 116.90 degrees
Atoms (fractional coordinates):
Tb 0.001 0.586 0.414
Tb 0.077 0.432 0.078
Tb 0.078 0.077 0.432
Tb 0.414 0.001 0.586
Tb 0.414 0.586 0.999
Tb 0.432 0.078 0.077
Tb 0.568 0.922 0.923
Tb 0.586 0.414 0.001
Tb 0.586 0.999 0.414
Tb 0.922 0.923 0.568
Tb 0.923 0.568 0.922
Tb 0.999 0.414 0.586
Dy 0.000 0.000 0.000
Dy 0.140 0.382 0.383
Dy 0.382 0.383 0.140
Dy 0.383 0.140 0.382
Dy 0.617 0.860 0.618
Dy 0.618 0.617 0.860
Dy 0.860 0.618 0.617
Zr 0.500 0.500 0.500

For the distance to the lowest polymorph of the same formula, the calculation gives 0.0000 eV/atom.

Number 1: VASP energy -38.799 eV/cell, energy of formation -0.13 eV per atom. Number 2: VASP energy -26.396 eV/cell, energy of formation -0.11 eV per atom. Number 3: VASP energy -39.378 eV/cell, energy of formation 0.01 eV per atom. Number 4: VASP energy -48.769 eV/cell, energy of formation 0.00 eV per atom. Number 5: VASP energy -10.663 eV/cell, energy of formation -0.05 eV per atom. Number 6: VASP energy -52.495 eV/cell, energy of formation 0.21 eV per atom. Number 7: VASP energy -133.798 eV/cell, energy of formation 0.41 eV per atom. Number 8: VASP energy -106.148 eV/cell, energy of formation 0.15 eV per atom. Number 9: VASP energy -17.376 eV/cell, energy of formation 0.13 eV per atom. Number 10: VASP energy -22.006 eV/cell, energy of formation 0.09 eV per atom. Number 11: VASP energy -69.527 eV/cell, energy of formation 0.24 eV per atom. Number 12: VASP energy -21.701 eV/cell, energy of formation 0.17 eV per atom. Number 13: VASP energy -34.766 eV/cell, energy of formation 0.13 eV per atom. Number 14: VASP energy -91.074 eV/cell, energy of formation 0.26 eV per atom. Number 15: VASP energy -49.586 eV/cell, energy of formation 0.05 eV per atom. Number 16: VASP energy -22.027 eV/cell, energy of formation 0.10 eV per atom. Number 17: VASP energy -54.313 eV/cell, energy of formation 0.04 eV per atom. Number 18: VASP energy -77.337 eV/cell, energy of formation 0.04 eV per atom. Number 19: VASP energy -17.539 eV/cell, energy of formation 0.08 eV per atom. Number 20: VASP energy -91.281 eV/cell, energy of formation 0.25 eV per atom.